Material: ZrCd2As
Method: DFT, PBE-GGA
State: optimized geometry

Computed properties:
* crystal system: monoclinic
* symmetry: P2/m
* DFT total energy: -3.88 eV per atom

```
4
Lattice="-1.8502 -4.2433 2.5793 -1.1437 -1.0720 -2.5840 4.0539 -2.9730 -1.9830" Properties=species:S:1:pos:R:3 pbc="T T T"
Cd 3.0113 -3.8916 -4.2422
Zr -0.1975 -3.1329 0.1479
As 1.2576 -5.1554 -2.1356
Cd 1.3541 -2.1758 -2.6083
```